[1]
An optimized crystal structure of BaAlGa3. Source: Alexandria, functional GGA-PBE.

```
data_BaAlGa3
_chemical_formula_sum 'Ba1 Al1 Ga3'
_cell_length_a 5.981
_cell_length_b 5.981
_cell_length_c 5.981
_cell_angle_alpha 90.00
_cell_angle_beta 90.00
_cell_angle_gamma 90.00
_space_group_name_H-M_alt 'P 1'
_space_group_IT_number 1
loop_
_space_group_symop_operation_xyz
'x,y,z'
loop_
_atom_site_label
_atom_site_fract_x
_atom_site_fract_y
_atom_site_fract_z
_atom_site_occupancy
Ba1 0.000 0.000 0.000 1
Al1 0.500 0.500 0.500 1
Ga1 0.000 0.000 0.500 1
Ga2 0.000 0.500 0.000 1
Ga3 0.500 0.000 0.000 1
```

The calculation puts the relative energy among the computed polymorphs at 1528 meV per atom. The space-group type is Pm-3m. The total moment is 0.00 μB per formula unit. Its energy of formation is 5.67 eV/f.u.

***

[2]
An optimized crystal structure of BaAl4Ga3. Source: Alexandria, functional GGA-PBE.

```
data_BaAl4Ga3
_chemical_formula_sum 'Ba1 Al4 Ga3'
_cell_length_a 4.619
_cell_length_b 4.619
_cell_length_c 8.064
_cell_angle_alpha 90.00
_cell_angle_beta 90.00
_cell_angle_gamma 90.00
_space_group_name_H-M_alt 'P 1'
_space_group_IT_number 1
loop_
_space_group_symop_operation_xyz
'x,y,z'
loop_
_atom_site_label
_atom_site_fract_x
_atom_site_fract_y
_atom_site_fract_z
_atom_site_occupancy
Ba1 0.000 0.000 0.000 1
Al1 0.000 0.500 0.329 1
Al2 0.000 0.500 0.671 1
Al3 0.500 0.000 0.329 1
Al4 0.500 0.000 0.671 1
Ga1 0.000 0.000 0.500 1
Ga2 0.500 0.500 0.163 1
Ga3 0.500 0.500 0.837 1
```

The space-group type is P4/mmm. The total moment is 0.00 μB per formula unit. Its energy of formation is -1.67 eV/f.u.

***

[3]
An optimized crystal structure of Ba3Al2Ga3. Source: Alexandria, functional GGA-PBE.

```
data_Ba3Al2Ga3
_chemical_formula_sum 'Ba6 Al4 Ga6'
_cell_length_a 6.881
_cell_length_b 6.881
_cell_length_c 16.200
_cell_angle_alpha 90.00
_cell_angle_beta 90.00
_cell_angle_gamma 140.89
_space_group_name_H-M_alt 'P 1'
_space_group_IT_number 1
loop_
_space_group_symop_operation_xyz
'x,y,z'
loop_
_atom_site_label
_atom_site_fract_x
_atom_site_fract_y
_atom_site_fract_z
_atom_site_occupancy
Ba1 0.070 0.930 0.602 1
Ba2 0.070 0.930 0.898 1
Ba3 0.367 0.633 0.750 1
Ba4 0.633 0.367 0.250 1
Ba5 0.930 0.070 0.102 1
Ba6 0.930 0.070 0.398 1
Al1 0.228 0.772 0.103 1
Al2 0.228 0.772 0.397 1
Al3 0.772 0.228 0.603 1
Al4 0.772 0.228 0.897 1
Ga1 0.334 0.666 0.250 1
Ga2 0.341 0.659 0.538 1
Ga3 0.341 0.659 0.962 1
Ga4 0.659 0.341 0.038 1
Ga5 0.659 0.341 0.462 1
Ga6 0.666 0.334 0.750 1
```

The calculation puts the relative energy among the computed polymorphs at 0 meV per atom. The space-group type is Cmcm. The total moment is 0.00 μB per formula unit. Its energy of formation is -2.88 eV/f.u.

***

[4]
An optimized crystal structure of Ba2AlGa4. Source: Alexandria, functional GGA-PBE.

```
data_Ba2AlGa4
_chemical_formula_sum 'Ba4 Al2 Ga8'
_cell_length_a 6.455
_cell_length_b 6.642
_cell_length_c 9.054
_cell_angle_alpha 90.00
_cell_angle_beta 108.08
_cell_angle_gamma 90.00
_space_group_name_H-M_alt 'P 1'
_space_group_IT_number 1
loop_
_space_group_symop_operation_xyz
'x,y,z'
loop_
_atom_site_label
_atom_site_fract_x
_atom_site_fract_y
_atom_site_fract_z
_atom_site_occupancy
Ba1 0.110 0.250 0.396 1
Ba2 0.254 0.750 0.026 1
Ba3 0.746 0.250 0.974 1
Ba4 0.890 0.750 0.604 1
Al1 0.166 0.250 0.781 1
Al2 0.834 0.750 0.219 1
Ga1 0.295 0.250 0.096 1
Ga2 0.296 0.750 0.411 1
Ga3 0.424 0.531 0.690 1
Ga4 0.424 0.969 0.690 1
Ga5 0.576 0.031 0.310 1
Ga6 0.576 0.469 0.310 1
Ga7 0.704 0.250 0.589 1
Ga8 0.705 0.750 0.904 1
```

The space-group type is P2_1/m. The total moment is 0.00 μB per formula unit. Its energy of formation is -2.40 eV/f.u.

***

[5]
An optimized crystal structure of BaAl2Ga. Source: Alexandria, functional GGA-PBE.

```
data_BaAl2Ga
_chemical_formula_sum 'Ba1 Al2 Ga1'
_cell_length_a 5.248
_cell_length_b 5.248
_cell_length_c 5.105
_cell_angle_alpha 90.00
_cell_angle_beta 90.00
_cell_angle_gamma 120.78
_space_group_name_H-M_alt 'P 1'
_space_group_IT_number 1
loop_
_space_group_symop_operation_xyz
'x,y,z'
loop_
_atom_site_label
_atom_site_fract_x
_atom_site_fract_y
_atom_site_fract_z
_atom_site_occupancy
Ba1 0.000 0.000 0.000 1
Al1 0.000 0.500 0.500 1
Al2 0.500 0.000 0.500 1
Ga1 0.500 0.500 0.500 1
```

The space-group type is Cmmm. The total moment is 0.00 μB per formula unit. Its energy of formation is -0.39 eV/f.u.

***

[6]
An optimized crystal structure of BaAlGa2. Source: Alexandria, functional GGA-PBE.

```
data_BaAlGa2
_chemical_formula_sum 'Ba8 Al8 Ga16'
_cell_length_a 15.425
_cell_length_b 4.436
_cell_length_c 11.871
_cell_angle_alpha 90.00
_cell_angle_beta 90.00
_cell_angle_gamma 90.00
_space_group_name_H-M_alt 'P 1'
_space_group_IT_number 1
loop_
_space_group_symop_operation_xyz
'x,y,z'
loop_
_atom_site_label
_atom_site_fract_x
_atom_site_fract_y
_atom_site_fract_z
_atom_site_occupancy
Ba1 0.057 0.250 0.247 1
Ba2 0.203 0.750 0.526 1
Ba3 0.297 0.250 0.026 1
Ba4 0.443 0.750 0.747 1
Ba5 0.557 0.250 0.253 1
Ba6 0.703 0.750 0.974 1
Ba7 0.797 0.250 0.474 1
Ba8 0.943 0.750 0.753 1
Al1 0.055 0.250 0.945 1
Al2 0.188 0.750 0.823 1
Al3 0.312 0.250 0.323 1
Al4 0.445 0.750 0.445 1
Al5 0.555 0.250 0.555 1
Al6 0.688 0.750 0.677 1
Al7 0.812 0.250 0.177 1
Al8 0.945 0.750 0.055 1
Ga1 0.016 0.250 0.546 1
Ga2 0.109 0.250 0.729 1
Ga3 0.127 0.750 0.036 1
Ga4 0.222 0.750 0.242 1
Ga5 0.278 0.250 0.742 1
Ga6 0.373 0.250 0.536 1
Ga7 0.391 0.750 0.229 1
Ga8 0.484 0.750 0.046 1
Ga9 0.516 0.250 0.954 1
Ga10 0.609 0.250 0.771 1
Ga11 0.627 0.750 0.464 1
Ga12 0.722 0.750 0.258 1
Ga13 0.778 0.250 0.758 1
Ga14 0.873 0.250 0.964 1
Ga15 0.891 0.750 0.271 1
Ga16 0.984 0.750 0.454 1
```

The space-group type is Pnma. The total moment is 0.00 μB per formula unit. Its energy of formation is -1.56 eV/f.u.